12
Lattice="3.5258 -6.1352 0.0000 3.5258 6.1352 0.0000 -2.3640 0.0000 6.9299" Properties=species:S:1:pos:R:3 comment="Nd3DyTm2Se6 (PBE-GGA, relaxed)" e_form_raw_mev_per_atom=-1774 magmom_total_mub_per_cell=0.00 space_group="No. 12" pbc="T T T"
Nd 0.0000 0.0000 0.0000
Nd 3.5258 2.0155 0.0000
Nd 3.5258 -2.0155 0.0000
Dy 2.3438 0.0000 3.4650
Tm 2.3438 4.0943 3.4650
Tm 2.3438 -4.0943 3.4650
Se 1.1594 2.0695 1.8571
Se -0.0371 0.0000 5.0616
Se 1.1594 -2.0695 1.8571
Se 3.5282 2.0695 5.0729
Se 4.7247 0.0000 1.8683
Se 3.5282 -2.0695 5.0729